[1]
Mg2AgPt | GGA-PBEsol | optimized geometry Values from VASP.

Properties
ΔH_f (0 K)	-0.526	eV per atom
electronic total energy	-15.81	eV/cell
space group	No. 123
excess energy over the best structure of this formula in the dataset	21.9	meV per atom

Cell and atoms, written as Quantum ESPRESSO input:
```
&SYSTEM
  ibrav = 0, nat = 4, ntyp = 3
/
ATOMIC_SPECIES
Mg 24.30 Mg.upf
Ag 107.87 Ag.upf
Pt 195.08 Pt.upf
ATOMIC_POSITIONS crystal
Mg 0.000 0.000 0.232
Mg 0.000 0.000 0.768
Ag 0.500 0.500 0.500
Pt 0.500 0.500 0.000
CELL_PARAMETERS angstrom
3.001 0.000 0.000
0.000 3.001 0.000
0.000 0.000 7.347
```

***

[2]
Mg2AgPt | GGA-PBEsol | optimized geometry Values from VASP.

Properties
ΔH_f (0 K)	-0.331	eV per atom
electronic total energy	-15.03	eV/cell
space group	No. 99
excess energy over the best structure of this formula in the dataset	216.9	meV per atom

Cell and atoms, written as Quantum ESPRESSO input:
```
&SYSTEM
  ibrav = 0, nat = 4, ntyp = 3
/
ATOMIC_SPECIES
Mg 24.30 Mg.upf
Ag 107.87 Ag.upf
Pt 195.08 Pt.upf
ATOMIC_POSITIONS crystal
Mg 0.000 0.000 0.000
Mg 0.500 0.500 0.311
Ag 0.500 0.500 0.777
Pt 0.000 0.000 0.502
CELL_PARAMETERS angstrom
3.435 0.000 0.000
0.000 3.435 0.000
0.000 0.000 5.834
```

***

[3]
MgAg2Pt | GGA-PBEsol | optimized geometry Values from VASP.

Properties
ΔH_f (0 K)	-0.200	eV per atom
electronic total energy	-32.21	eV/cell
space group	No. 65

Cell and atoms, written as Quantum ESPRESSO input:
```
&SYSTEM
  ibrav = 0, nat = 8, ntyp = 3
/
ATOMIC_SPECIES
Mg 24.30 Mg.upf
Ag 107.87 Ag.upf
Pt 195.08 Pt.upf
ATOMIC_POSITIONS crystal
Mg 0.000 0.000 0.000
Mg 0.500 0.500 0.000
Ag 0.250 0.250 0.500
Ag 0.250 0.750 0.500
Ag 0.750 0.250 0.500
Ag 0.750 0.750 0.500
Pt 0.000 0.500 0.000
Pt 0.500 0.000 0.000
CELL_PARAMETERS angstrom
5.577 0.000 0.000
0.000 7.853 0.000
0.000 0.000 2.971
```